Material: Na2B3C
Method: DFT, PBE
State: relaxed

Its crystal system is monoclinic. For the formation enthalpy at 0 K, the calculation gives 0.1578 eV/atom. The space-group type is No. 8.

abc: 9.077 9.077 13.465
angles: 112.47 112.47 18.03
Element x y z (fractional)
Na (0.800, 0.800, 0.599)
Na (0.999, 0.999, 0.000)
Na (0.600, 0.600, 0.698)
Na (0.398, 0.398, 0.799)
Na (0.401, 0.401, 0.301)
Na (0.000, 0.000, 0.499)
Na (0.201, 0.201, 0.400)
Na (0.599, 0.599, 0.204)
Na (0.201, 0.201, 0.898)
Na (0.802, 0.802, 0.101)
B (0.429, 0.429, 0.109)
B (0.227, 0.227, 0.703)
B (0.765, 0.765, 0.280)
B (0.832, 0.832, 0.413)
B (0.633, 0.633, 0.016)
B (0.969, 0.969, 0.189)
B (0.767, 0.767, 0.783)
B (0.569, 0.569, 0.888)
B (0.836, 0.836, 0.922)
B (0.028, 0.028, 0.806)
B (0.633, 0.633, 0.517)
B (0.039, 0.039, 0.328)
B (0.371, 0.371, 0.490)
B (0.175, 0.175, 0.100)
B (0.962, 0.962, 0.673)
C (0.432, 0.432, 0.612)
C (0.570, 0.570, 0.390)
C (0.165, 0.165, 0.579)
C (0.367, 0.367, 0.985)
C (0.234, 0.234, 0.218)



Material: Na5B9C
Method: DFT, PBE
State: relaxed

Its crystal system is monoclinic. For the formation enthalpy at 0 K, the calculation gives 0.2477 eV/atom. The space-group type is No. 8.

abc: 11.745 11.745 10.176
angles: 106.03 106.03 14.35
Element x y z (fractional)
B (0.876, 0.876, 0.002)
B (0.218, 0.218, 0.685)
B (0.717, 0.717, 0.183)
B (0.917, 0.917, 0.584)
B (0.809, 0.809, 0.867)
B (0.480, 0.480, 0.210)
B (0.784, 0.784, 0.317)
B (0.086, 0.086, 0.423)
B (0.983, 0.983, 0.716)
B (0.628, 0.628, 0.506)
B (0.383, 0.383, 0.517)
B (0.517, 0.517, 0.784)
B (0.583, 0.583, 0.916)
B (0.184, 0.184, 0.116)
B (0.117, 0.117, 0.983)
B (0.317, 0.317, 0.384)
B (0.023, 0.023, 0.296)
B (0.416, 0.416, 0.081)
C (0.687, 0.687, 0.624)
C (0.279, 0.279, 0.808)
Na (0.202, 0.202, 0.399)
Na (0.500, 0.500, 0.502)
Na (0.601, 0.601, 0.200)
Na (0.300, 0.300, 0.099)
Na (0.399, 0.399, 0.798)
Na (0.800, 0.800, 0.598)
Na (0.100, 0.100, 0.704)
Na (0.999, 0.999, 0.998)
Na (0.899, 0.899, 0.300)
Na (0.700, 0.700, 0.901)



Material: Na3B5C
Method: DFT, PBE
State: relaxed

Its crystal system is orthorhombic. For the formation enthalpy at 0 K, the calculation gives 0.1954 eV/atom. The space-group type is No. 63.

abc: 8.100 8.100 8.676
angles: 90.00 90.00 159.90
Element x y z (fractional)
Na (0.667, 0.333, 0.502)
Na (0.000, 0.000, 0.000)
Na (0.333, 0.667, 0.498)
Na (0.667, 0.333, 0.998)
Na (0.000, 0.000, 0.500)
Na (0.333, 0.667, 0.002)
C (0.779, 0.221, 0.750)
C (0.221, 0.779, 0.250)
B (0.119, 0.881, 0.750)
B (0.881, 0.119, 0.250)
B (0.450, 0.550, 0.250)
B (0.550, 0.450, 0.750)
B (0.877, 0.123, 0.750)
B (0.446, 0.554, 0.750)
B (0.123, 0.877, 0.250)
B (0.772, 0.228, 0.250)
B (0.554, 0.446, 0.250)
B (0.228, 0.772, 0.750)



formation enthalpy at 0 K of number 1 (Na2B3C)?
0.1578 eV/atom